1.
The following is a DFT calculation (PBE) of a relaxed CaLa2Ir crystal.

The structure in POSCAR format:
```
CaLa2Ir
1.0
3.2784 -5.1670 0.0000
3.2784 5.1670 0.0000
-1.4166 0.0000 3.1509
Ca La Ir
1 2 1
direct
0.0000 0.0000 0.0000 Ca
0.0000 0.5000 0.5000 La
0.5000 0.0000 0.5000 La
0.5000 0.5000 0.0000 Ir
```

- D(E_F): 1.274 states/eV per atom
- Symmetry: C2/m
- Polymorph energy (0 for the lowest one): 591 meV per atom
- ΔE_f: 0.146 eV/atom
- Total magnetization: 0.00 μB/f.u.
- V: 26.69 A^3/atom

2.
The following is a DFT calculation (PBE) of a relaxed CaLa2Ir crystal.

The structure in POSCAR format:
```
CaLa2Ir
1.0
3.6021 0.0000 0.0000
0.0000 3.6021 0.0000
0.0000 0.0000 9.4932
Ca La Ir
1 2 1
direct
0.0000 0.0000 0.0000 Ca
0.0000 0.0000 0.3493 La
0.5000 0.5000 0.6771 La
0.5000 0.5000 0.1919 Ir
```

- D(E_F): 0.845 states/eV per atom
- Symmetry: P4mm
- Polymorph energy (0 for the lowest one): 202 meV per atom
- ΔE_f: -0.242 eV/atom
- Total magnetization: 0.00 μB/f.u.
- V: 30.79 A^3/atom

3.
The following is a DFT calculation (PBE) of a relaxed CaLa2Ir2 crystal.

The structure in POSCAR format:
```
CaLa2Ir2
1.0
-2.0258 2.0258 10.2002
2.0258 -2.0258 10.2002
2.0258 2.0258 -10.2002
Ca La Ir
1 2 2
direct
0.0000 0.0000 0.0000 Ca
0.3459 0.3459 0.0000 La
0.6541 0.6541 0.0000 La
0.2500 0.7500 0.5000 Ir
0.7500 0.2500 0.5000 Ir
```

- D(E_F): 0.781 states/eV per atom
- Symmetry: I4/mmm
- Polymorph energy (0 for the lowest one): 390 meV per atom
- ΔE_f: -0.187 eV/atom
- Total magnetization: 0.00 μB/f.u.
- V: 33.49 A^3/atom

4.
The following is a DFT calculation (PBE) of a relaxed CaLa2Ir9 crystal.

The structure in POSCAR format:
```
CaLa2Ir9
1.0
2.6930 1.5548 8.8984
-2.6930 1.5548 8.8984
0.0000 -3.1096 8.8984
Ca La Ir
1 2 9
direct
0.0000 0.0000 0.0000 Ca
0.1382 0.1382 0.1382 La
0.8618 0.8618 0.8618 La
0.0843 0.5775 0.5775 Ir
0.3315 0.3315 0.3315 Ir
0.4225 0.4225 0.9157 Ir
0.4225 0.9157 0.4225 Ir
0.5000 0.5000 0.5000 Ir
0.5775 0.0843 0.5775 Ir
0.5775 0.5775 0.0843 Ir
0.6685 0.6685 0.6685 Ir
0.9157 0.4225 0.4225 Ir
```

- D(E_F): 0.911 states/eV per atom
- Symmetry: R-3m
- ΔE_f: -0.433 eV/atom
- Total magnetization: 0.00 μB/f.u.
- V: 18.63 A^3/atom

5.
The following is a DFT calculation (PBE) of a relaxed CaLa2Ir crystal.

The structure in POSCAR format:
```
CaLa2Ir
1.0
-1.8294 2.5915 6.7209
1.8294 -2.5915 6.7209
1.8294 2.5915 -6.7209
Ca La Ir
1 2 1
direct
0.0000 0.0000 0.0000 Ca
0.3451 0.3451 0.0000 La
0.6726 0.1726 0.5000 La
0.1816 0.6816 0.5000 Ir
```

- D(E_F): 0.934 states/eV per atom
- Symmetry: Imm2
- Polymorph energy (0 for the lowest one): 151 meV per atom
- ΔE_f: -0.294 eV/atom
- Total magnetization: 0.00 μB/f.u.
- V: 31.86 A^3/atom

6.
The following is a DFT calculation (PBE) of a relaxed CaLaIr crystal.

The structure in POSCAR format:
```
CaLaIr
1.0
-1.7747 1.7747 6.8549
1.7747 -1.7747 6.8549
1.7747 1.7747 -6.8549
Ca La Ir
1 1 1
direct
0.0000 0.0000 0.0000 Ca
0.7530 0.7530 0.0000 La
0.3672 0.3672 0.0000 Ir
```

- D(E_F): 0.565 states/eV per atom
- Symmetry: I4mm
- Polymorph energy (0 for the lowest one): 45 meV per atom
- ΔE_f: -0.436 eV/atom
- Total magnetization: 0.00 μB/f.u.
- V: 28.79 A^3/atom

7.
The following is a DFT calculation (PBE) of a relaxed Ca3La2Ir2 crystal.

The structure in POSCAR format:
```
Ca3La2Ir2
1.0
6.4656 -2.0433 0.0000
6.4656 2.0433 0.0000
-3.1725 0.0000 7.9591
Ca La Ir
3 2 2
direct
0.0000 0.0000 0.0000 Ca
0.1320 0.1320 0.4258 Ca
0.8680 0.8680 0.5742 Ca
0.3294 0.3294 0.1849 La
0.6706 0.6706 0.8151 La
0.3134 0.3134 0.8036 Ir
0.6866 0.6866 0.1964 Ir
```

- D(E_F): 0.420 states/eV per atom
- Symmetry: C2/m
- ΔE_f: -0.470 eV/atom
- Total magnetization: 0.00 μB/f.u.
- V: 30.04 A^3/atom

8.
The following is a DFT calculation (PBE) of a relaxed CaLa4Ir crystal.

The structure in POSCAR format:
```
CaLa4Ir
1.0
5.0747 -7.4144 0.0000
5.0747 7.4144 0.0000
-2.2526 0.0000 6.2239
Ca La Ir
2 8 2
direct
0.0914 0.9086 0.7500 Ca
0.9086 0.0914 0.2500 Ca
0.1335 0.5698 0.3479 La
0.2558 0.3909 0.8196 La
0.3909 0.2558 0.3196 La
0.4302 0.8665 0.1521 La
0.5698 0.1335 0.8479 La
0.6091 0.7442 0.6804 La
0.7442 0.6091 0.1804 La
0.8665 0.4302 0.6521 La
0.4233 0.5767 0.2500 Ir
0.5767 0.4233 0.7500 Ir
```

- D(E_F): 1.358 states/eV per atom
- Symmetry: C2/c
- Polymorph energy (0 for the lowest one): 101 meV per atom
- ΔE_f: -0.155 eV/atom
- Total magnetization: 0.00 μB/f.u.
- V: 39.03 A^3/atom

9.
The following is a DFT calculation (PBE) of a relaxed Ca2LaIr crystal.

The structure in POSCAR format:
```
Ca2LaIr
1.0
0.0000 3.7091 3.7091
3.7091 0.0000 3.7091
3.7091 3.7091 0.0000
Ca La Ir
2 1 1
direct
0.2500 0.2500 0.2500 Ca
0.7500 0.7500 0.7500 Ca
0.0000 0.0000 0.0000 La
0.5000 0.5000 0.5000 Ir
```

- D(E_F): 0.874 states/eV per atom
- Symmetry: Fm-3m
- Polymorph energy (0 for the lowest one): 521 meV per atom
- ΔE_f: 0.103 eV/atom
- Total magnetization: 0.00 μB/f.u.
- V: 25.51 A^3/atom

10.
The following is a DFT calculation (PBE) of a relaxed CaLa2Ir crystal.

The structure in POSCAR format:
```
CaLa2Ir
1.0
-2.2292 2.2292 5.4442
2.2292 -2.2292 5.4442
2.2292 2.2292 -5.4442
Ca La Ir
1 2 1
direct
0.0000 0.0000 0.0000 Ca
0.5000 0.5000 0.0000 La
0.7500 0.2500 0.5000 La
0.2500 0.7500 0.5000 Ir
```

- D(E_F): 0.834 states/eV per atom
- Symmetry: I-4m2
- Polymorph energy (0 for the lowest one): 409 meV per atom
- ΔE_f: -0.036 eV/atom
- Total magnetization: 0.00 μB/f.u.
- V: 27.05 A^3/atom

11.
The following is a DFT calculation (PBE) of a relaxed CaLa2Ir crystal.

The structure in POSCAR format:
```
CaLa2Ir
1.0
3.6669 0.0000 0.0000
0.0000 3.6669 0.0000
0.0000 0.0000 9.8711
Ca La Ir
1 2 1
direct
0.0000 0.0000 0.0000 Ca
0.5000 0.5000 0.3329 La
0.5000 0.5000 0.6671 La
0.0000 0.0000 0.5000 Ir
```

- D(E_F): 1.270 states/eV per atom
- Symmetry: P4/mmm
- Polymorph energy (0 for the lowest one): 112 meV per atom
- ΔE_f: -0.332 eV/atom
- Total magnetization: 0.00 μB/f.u.
- V: 33.18 A^3/atom

12.
The following is a DFT calculation (PBE) of a relaxed CaLa2Ir crystal.

The structure in POSCAR format:
```
CaLa2Ir
1.0
3.8961 0.0000 0.0000
0.0000 2.2098 7.9110
0.0000 -2.2098 7.9110
Ca La Ir
1 2 1
direct
0.0000 0.0000 0.0000 Ca
0.0000 0.3212 0.3212 La
0.5000 0.6648 0.6648 La
0.5000 0.8402 0.8402 Ir
```

- D(E_F): 1.012 states/eV per atom
- Symmetry: Amm2
- Polymorph energy (0 for the lowest one): 119 meV per atom
- ΔE_f: -0.326 eV/atom
- Total magnetization: 0.01 μB/f.u.
- V: 34.05 A^3/atom

13.
The following is a DFT calculation (PBE) of a relaxed Ca4LaIr crystal.

The structure in POSCAR format:
```
Ca4LaIr
1.0
0.0000 4.5555 4.5555
4.5555 0.0000 4.5555
4.5555 4.5555 0.0000
Ca La Ir
4 1 1
direct
0.1236 0.1236 0.1236 Ca
0.1236 0.1236 0.6292 Ca
0.1236 0.6292 0.1236 Ca
0.6292 0.1236 0.1236 Ca
0.5000 0.5000 0.5000 La
0.7500 0.7500 0.7500 Ir
```

- D(E_F): 0.957 states/eV per atom
- Symmetry: F-43m
- ΔE_f: 0.668 eV/atom
- Total magnetization: 0.25 μB/f.u.
- V: 31.51 A^3/atom

14.
The following is a DFT calculation (PBE) of a relaxed CaLa3Ir2 crystal.

The structure in POSCAR format:
```
CaLa3Ir2
1.0
-3.5176 7.0076 3.6850
3.5176 -7.0076 3.6850
3.5176 7.0076 -3.6850
Ca La Ir
2 6 4
direct
0.0000 0.0000 0.0000 Ca
0.5000 0.5000 0.0000 Ca
0.0165 0.2500 0.7665 La
0.2500 0.7500 0.5000 La
0.4835 0.2500 0.2335 La
0.5165 0.7500 0.7665 La
0.7500 0.2500 0.5000 La
0.9835 0.7500 0.2335 La
0.1400 0.7067 0.8467 Ir
0.3600 0.2067 0.5667 Ir
0.6400 0.7933 0.4333 Ir
0.8600 0.2933 0.1533 Ir
```

- D(E_F): 0.634 states/eV per atom
- Symmetry: Ibam
- ΔE_f: -0.576 eV/atom
- Total magnetization: 0.00 μB/f.u.
- V: 30.28 A^3/atom

15.
The following is a DFT calculation (PBE) of a relaxed CaLa2Ir crystal.

The structure in POSCAR format:
```
CaLa2Ir
1.0
0.0000 3.7329 3.7329
3.7329 0.0000 3.7329
3.7329 3.7329 0.0000
Ca La Ir
1 2 1
direct
0.0000 0.0000 0.0000 Ca
0.5000 0.5000 0.5000 La
0.7500 0.7500 0.7500 La
0.2500 0.2500 0.2500 Ir
```

- D(E_F): 1.057 states/eV per atom
- Symmetry: F-43m
- Polymorph energy (0 for the lowest one): 428 meV per atom
- ΔE_f: -0.017 eV/atom
- Total magnetization: 0.00 μB/f.u.
- V: 26.01 A^3/atom

16.
The following is a DFT calculation (PBE) of a relaxed Ca2LaIr crystal.

The structure in POSCAR format:
```
Ca2LaIr
1.0
3.4778 0.0000 0.0000
0.0000 4.8487 0.0000
0.0000 0.0000 6.2107
Ca La Ir
2 1 1
direct
0.0000 0.0000 0.2205 Ca
0.0000 0.0000 0.7795 Ca
0.5000 0.5000 0.5000 La
0.5000 0.5000 0.0000 Ir
```

- D(E_F): 1.054 states/eV per atom
- Symmetry: Pmmm
- Polymorph energy (0 for the lowest one): 518 meV per atom
- ΔE_f: 0.100 eV/atom
- Total magnetization: 0.00 μB/f.u.
- V: 26.18 A^3/atom

17.
The following is a DFT calculation (PBE) of a relaxed CaLa2Ir crystal.

The structure in POSCAR format:
```
CaLa2Ir
1.0
4.4030 0.0000 0.0000
0.0000 4.0907 0.0000
-1.6097 0.0000 6.9795
Ca La Ir
1 2 1
direct
0.0000 0.0000 0.0000 Ca
0.3779 0.5000 0.6904 La
0.6221 0.5000 0.3096 La
0.0000 0.0000 0.5000 Ir
```

- D(E_F): 0.953 states/eV per atom
- Symmetry: P2/m
- Polymorph energy (0 for the lowest one): 136 meV per atom
- ΔE_f: -0.309 eV/atom
- Total magnetization: 0.00 μB/f.u.
- V: 31.43 A^3/atom

18.
The following is a DFT calculation (PBE) of a relaxed CaLa2Ir2 crystal.

The structure in POSCAR format:
```
CaLa2Ir2
1.0
8.0106 0.0000 0.0000
0.0000 8.0106 0.0000
0.0000 0.0000 3.9667
Ca La Ir
2 4 4
direct
0.0000 0.0000 0.0000 Ca
0.5000 0.5000 0.0000 Ca
0.1568 0.3432 0.5000 La
0.3432 0.8432 0.5000 La
0.6568 0.1568 0.5000 La
0.8432 0.6568 0.5000 La
0.1409 0.6409 0.0000 Ir
0.3591 0.1409 0.0000 Ir
0.6409 0.8591 0.0000 Ir
0.8591 0.3591 0.0000 Ir
```

- D(E_F): 0.087 states/eV per atom
- Symmetry: P4/mbm
- Polymorph energy (0 for the lowest one): 0 meV per atom
- ΔE_f: -0.578 eV/atom
- Total magnetization: 0.00 μB/f.u.
- V: 25.45 A^3/atom

19.
The following is a DFT calculation (PBE) of a relaxed Ca3LaIr2 crystal.

The structure in POSCAR format:
```
Ca3LaIr2
1.0
10.0057 -2.0804 0.0000
10.0057 2.0804 0.0000
-3.0607 0.0000 7.7076
Ca La Ir
6 2 4
direct
0.0255 0.0255 0.3336 Ca
0.3215 0.3215 0.5613 Ca
0.4004 0.4004 0.9939 Ca
0.5996 0.5996 0.0061 Ca
0.6785 0.6785 0.4387 Ca
0.9745 0.9745 0.6664 Ca
0.1894 0.1894 0.8010 La
0.8106 0.8106 0.1990 La
0.2026 0.2026 0.1991 Ir
0.4277 0.4277 0.3793 Ir
0.5723 0.5723 0.6207 Ir
0.7974 0.7974 0.8009 Ir
```

- D(E_F): 0.512 states/eV per atom
- Symmetry: C2/m
- ΔE_f: -0.434 eV/atom
- Total magnetization: 0.00 μB/f.u.
- V: 26.74 A^3/atom

20.
The following is a DFT calculation (PBE) of a relaxed Ca2LaIr crystal.

The structure in POSCAR format:
```
Ca2LaIr
1.0
2.0564 1.1873 9.8676
-2.0564 1.1873 9.8676
0.0000 -2.3745 9.8676
Ca La Ir
2 1 1
direct
0.0000 0.0000 0.0000 Ca
0.2222 0.2222 0.2222 Ca
0.4388 0.4388 0.4388 La
0.7233 0.7233 0.7233 Ir
```

- D(E_F): 0.672 states/eV per atom
- Symmetry: R3m
- Polymorph energy (0 for the lowest one): 115 meV per atom
- ΔE_f: -0.302 eV/atom
- Total magnetization: 0.00 μB/f.u.
- V: 36.14 A^3/atom